[1]
An optimized crystal structure of LaZnSiAu2, computed with PBE.

Geometry as CIF:
```
data_LaZnSiAu2
_space_group_name_H-M_alt 'I -4 m 2'
_space_group_IT_number 119
_space_group_name_Hall 'I -4 -2'
_cell_length_a 4.391
_cell_length_b 4.391
_cell_length_c 10.742
_cell_angle_alpha 90.00
_cell_angle_beta 90.00
_cell_angle_gamma 90.00
loop_
_atom_site_label
_atom_site_type_symbol
_atom_site_fract_x
_atom_site_fract_y
_atom_site_fract_z
La1 La 0.000 0.000 0.000
Zn1 Zn 0.000 0.500 0.250
Si1 Si 0.000 0.500 0.750
Au1 Au 0.000 0.000 0.372
```

[2]
An optimized crystal structure of La3Zn2Si4Au2, computed with PBE.

Geometry as CIF:
```
data_La3Zn2Si4Au2
_space_group_name_H-M_alt 'I m m m'
_space_group_IT_number 71
_space_group_name_Hall '-I 2 2'
_cell_length_a 4.289
_cell_length_b 4.329
_cell_length_c 25.210
_cell_angle_alpha 90.00
_cell_angle_beta 90.00
_cell_angle_gamma 90.00
loop_
_atom_site_label
_atom_site_type_symbol
_atom_site_fract_x
_atom_site_fract_y
_atom_site_fract_z
La1 La 0.000 0.000 0.000
La2 La 0.000 0.500 0.149
Zn1 Zn 0.000 0.000 0.250
Si1 Si 0.000 0.000 0.453
Si2 Si 0.000 0.500 0.306
Au1 Au 0.000 0.500 0.404
```

[3]
An optimized crystal structure of La2ZnSi2Au, computed with PBE.

Geometry as CIF:
```
data_La2ZnSi2Au
_space_group_name_H-M_alt 'P -6 m 2'
_space_group_IT_number 187
_space_group_name_Hall 'P -6 2'
_cell_length_a 4.3127
_cell_length_b 4.3127
_cell_length_c 8.6372
_cell_angle_alpha 90.00
_cell_angle_beta 90.00
_cell_angle_gamma 120.00
loop_
_atom_site_label
_atom_site_type_symbol
_atom_site_fract_x
_atom_site_fract_y
_atom_site_fract_z
La1 La 0.0000 0.0000 0.2458
Zn1 Zn 0.6667 0.3333 0.5000
Si1 Si 0.3333 0.6667 0.5000
Si2 Si 0.6667 0.3333 0.0000
Au1 Au 0.3333 0.6667 0.0000
```

[4]
An optimized crystal structure of LaSnAu2, computed with PBE.

Geometry as CIF:
```
data_LaSnAu2
_space_group_name_H-M_alt 'P 4/m m m'
_space_group_IT_number 123
_space_group_name_Hall '-P 4 2'
_cell_length_a 4.809
_cell_length_b 4.809
_cell_length_c 4.198
_cell_angle_alpha 90.00
_cell_angle_beta 90.00
_cell_angle_gamma 90.00
loop_
_atom_site_label
_atom_site_type_symbol
_atom_site_fract_x
_atom_site_fract_y
_atom_site_fract_z
La1 La 0.000 0.000 0.000
Sn1 Sn 0.500 0.500 0.000
Au1 Au 0.000 0.500 0.500
```

[5]
An optimized crystal structure of LaSnAu2, computed with PBE.

Geometry as CIF:
```
data_LaSnAu2
_space_group_name_H-M_alt 'I 4/m m m'
_space_group_IT_number 139
_space_group_name_Hall '-I 4 2'
_cell_length_a 5.134
_cell_length_b 5.134
_cell_length_c 7.237
_cell_angle_alpha 90.00
_cell_angle_beta 90.00
_cell_angle_gamma 90.00
loop_
_atom_site_label
_atom_site_type_symbol
_atom_site_fract_x
_atom_site_fract_y
_atom_site_fract_z
La1 La 0.000 0.000 0.000
Sn1 Sn 0.000 0.000 0.500
Au1 Au 0.000 0.500 0.250
```

[6]
An optimized crystal structure of La3Sn4Au4, computed with PBE.

Geometry as CIF:
```
data_La3Sn4Au4
_space_group_name_H-M_alt 'I m m m'
_space_group_IT_number 71
_space_group_name_Hall '-I 2 2'
_cell_length_a 4.752
_cell_length_b 7.391
_cell_length_c 15.835
_cell_angle_alpha 90.00
_cell_angle_beta 90.00
_cell_angle_gamma 90.00
loop_
_atom_site_label
_atom_site_type_symbol
_atom_site_fract_x
_atom_site_fract_y
_atom_site_fract_z
La1 La 0.000 0.000 0.000
La2 La 0.000 0.500 0.131
Sn1 Sn 0.000 0.000 0.216
Sn2 Sn 0.000 0.195 0.500
Au1 Au 0.000 0.303 0.333
```

[7]
An optimized crystal structure of LaSnAu2, computed with PBE.

Geometry as CIF:
```
data_LaSnAu2
_space_group_name_H-M_alt 'P n m a'
_space_group_IT_number 62
_space_group_name_Hall '-P 2ac 2n'
_cell_length_a 9.303
_cell_length_b 7.255
_cell_length_c 5.724
_cell_angle_alpha 90.00
_cell_angle_beta 90.00
_cell_angle_gamma 90.00
loop_
_atom_site_label
_atom_site_type_symbol
_atom_site_fract_x
_atom_site_fract_y
_atom_site_fract_z
La1 La 0.081 0.250 0.165
Sn1 Sn 0.105 0.750 0.328
Au1 Au 0.166 0.033 0.664
```

[8]
An optimized crystal structure of SrLaTe3Au, computed with PBE.

Geometry as CIF:
```
data_SrLaTe3Au
_space_group_name_H-M_alt 'P 1 21/m 1'
_space_group_IT_number 11
_space_group_name_Hall '-P 2yb'
_cell_length_a 8.685
_cell_length_b 4.490
_cell_length_c 10.660
_cell_angle_alpha 90.00
_cell_angle_beta 103.52
_cell_angle_gamma 90.00
loop_
_atom_site_label
_atom_site_type_symbol
_atom_site_fract_x
_atom_site_fract_y
_atom_site_fract_z
Sr1 Sr 0.232 0.250 0.293
La1 La 0.304 0.750 0.835
Te1 Te 0.044 0.250 0.843
Te2 Te 0.271 0.750 0.532
Te3 Te 0.425 0.750 0.149
Au1 Au 0.096 0.250 0.593
```

[9]
An optimized crystal structure of SrLaTe3Au, computed with PBE.

Geometry as CIF:
```
data_SrLaTe3Au
_space_group_name_H-M_alt 'C 1 2/m 1'
_space_group_IT_number 12
_space_group_name_Hall '-C 2y'
_cell_length_a 20.548
_cell_length_b 4.467
_cell_length_c 8.958
_cell_angle_alpha 90.00
_cell_angle_beta 102.16
_cell_angle_gamma 90.00
loop_
_atom_site_label
_atom_site_type_symbol
_atom_site_fract_x
_atom_site_fract_y
_atom_site_fract_z
Sr1 Sr 0.120 0.000 0.076
La1 La 0.162 0.000 0.596
Te1 Te 0.000 0.000 0.500
Te2 Te 0.000 0.500 0.000
Te3 Te 0.175 0.500 0.350
Te4 Te 0.184 0.500 0.860
Au1 Au 0.051 0.500 0.713
```

[10]
An optimized crystal structure of LaTe3Au, computed with PBE.

Geometry as CIF:
```
data_LaTe3Au
_space_group_name_H-M_alt 'P b c m'
_space_group_IT_number 57
_space_group_name_Hall '-P 2c 2b'
_cell_length_a 5.293
_cell_length_b 16.897
_cell_length_c 7.656
_cell_angle_alpha 90.00
_cell_angle_beta 90.00
_cell_angle_gamma 90.00
loop_
_atom_site_label
_atom_site_type_symbol
_atom_site_fract_x
_atom_site_fract_y
_atom_site_fract_z
La1 La 0.195 0.087 0.250
Te1 Te 0.200 0.250 0.000
Te2 Te 0.296 0.576 0.514
Au1 Au 0.077 0.675 0.750
```

[11]
An optimized crystal structure of LaTe2Au, computed with PBE.

Geometry as CIF:
```
data_LaTe2Au
_space_group_name_H-M_alt 'P b c m'
_space_group_IT_number 57
_space_group_name_Hall '-P 2c 2b'
_cell_length_a 6.859
_cell_length_b 8.086
_cell_length_c 8.535
_cell_angle_alpha 90.00
_cell_angle_beta 90.00
_cell_angle_gamma 90.00
loop_
_atom_site_label
_atom_site_type_symbol
_atom_site_fract_x
_atom_site_fract_y
_atom_site_fract_z
La1 La 0.178 0.042 0.250
Te1 Te 0.087 0.750 0.000
Te2 Te 0.364 0.078 0.750
Au1 Au 0.497 0.250 0.000
```

[12]
An optimized crystal structure of LaTlTe3Au, computed with PBE.

- Polymorph energy (0 for the lowest one): 0.0054 eV/atom

Geometry as CIF:
```
data_LaTlTe3Au
_space_group_name_H-M_alt 'P n m a'
_space_group_IT_number 62
_space_group_name_Hall '-P 2ac 2n'
_cell_length_a 12.794
_cell_length_b 4.526
_cell_length_c 13.186
_cell_angle_alpha 90.00
_cell_angle_beta 90.00
_cell_angle_gamma 90.00
loop_
_atom_site_label
_atom_site_type_symbol
_atom_site_fract_x
_atom_site_fract_y
_atom_site_fract_z
La1 La 0.039 0.250 0.194
Tl1 Tl 0.203 0.250 0.485
Te1 Te 0.034 0.750 0.368
Te2 Te 0.092 0.250 0.935
Te3 Te 0.199 0.750 0.693
Au1 Au 0.232 0.750 0.291
```

[13]
An optimized crystal structure of LaTlTe3Au, computed with PBE.

- Polymorph energy (0 for the lowest one): 0.0000 eV/atom

Geometry as CIF:
```
data_LaTlTe3Au
_space_group_name_H-M_alt 'C m c m'
_space_group_IT_number 63
_space_group_name_Hall '-C 2c 2'
_cell_length_a 4.315
_cell_length_b 15.693
_cell_length_c 11.671
_cell_angle_alpha 90.00
_cell_angle_beta 90.00
_cell_angle_gamma 90.00
loop_
_atom_site_label
_atom_site_type_symbol
_atom_site_fract_x
_atom_site_fract_y
_atom_site_fract_z
La1 La 0.000 0.000 0.000
Tl1 Tl 0.000 0.241 0.250
Te1 Te 0.000 0.084 0.750
Te2 Te 0.000 0.356 0.566
Au1 Au 0.000 0.470 0.750
```

[14]
An optimized crystal structure of LaThAu, computed with PBE.

- Energy of formation: 33 kJ/mol of formula units

Geometry as CIF:
```
data_LaThAu
_space_group_name_H-M_alt 'F -4 3 m'
_space_group_IT_number 216
_space_group_name_Hall 'F -4 2 3'
_cell_length_a 7.121
_cell_length_b 7.121
_cell_length_c 7.121
_cell_angle_alpha 90.00
_cell_angle_beta 90.00
_cell_angle_gamma 90.00
loop_
_atom_site_label
_atom_site_type_symbol
_atom_site_fract_x
_atom_site_fract_y
_atom_site_fract_z
La1 La 0.000 0.000 0.000
Th1 Th 0.250 0.250 0.750
Au1 Au 0.000 0.000 0.500
```

[15]
An optimized crystal structure of LaTmAu2, computed with PBE.

- Energy of formation: -322 kJ/mol of formula units

Geometry as CIF:
```
data_LaTmAu2
_space_group_name_H-M_alt 'A m m 2'
_space_group_IT_number 38
_space_group_name_Hall 'A 2 -2'
_cell_length_a 4.732
_cell_length_b 3.810
_cell_length_c 11.155
_cell_angle_alpha 90.00
_cell_angle_beta 90.00
_cell_angle_gamma 90.00
loop_
_atom_site_label
_atom_site_type_symbol
_atom_site_fract_x
_atom_site_fract_y
_atom_site_fract_z
La1 La 0.000 0.000 0.000
Tm1 Tm 0.500 0.000 0.723
Au1 Au 0.000 0.000 0.271
Au2 Au 0.500 0.000 0.448
```

[16]
An optimized crystal structure of LaUAu, computed with PBE.

- Polymorph energy (0 for the lowest one): 0.0000 eV/atom
- Energy of formation: 78 kJ/mol of formula units

Geometry as CIF:
```
data_LaUAu
_space_group_name_H-M_alt 'F -4 3 m'
_space_group_IT_number 216
_space_group_name_Hall 'F -4 2 3'
_cell_length_a 7.181
_cell_length_b 7.181
_cell_length_c 7.181
_cell_angle_alpha 90.00
_cell_angle_beta 90.00
_cell_angle_gamma 90.00
loop_
_atom_site_label
_atom_site_type_symbol
_atom_site_fract_x
_atom_site_fract_y
_atom_site_fract_z
La1 La 0.000 0.000 0.000
U1 U 0.000 0.000 0.500
Au1 Au 0.250 0.250 0.250
```

[17]
An optimized crystal structure of LaYAu2, computed with PBE.

- Energy of formation: -325 kJ/mol of formula units

Geometry as CIF:
```
data_LaYAu2
_space_group_name_H-M_alt 'A m m 2'
_space_group_IT_number 38
_space_group_name_Hall 'A 2 -2'
_cell_length_a 4.760
_cell_length_b 3.835
_cell_length_c 11.232
_cell_angle_alpha 90.00
_cell_angle_beta 90.00
_cell_angle_gamma 90.00
loop_
_atom_site_label
_atom_site_type_symbol
_atom_site_fract_x
_atom_site_fract_y
_atom_site_fract_z
La1 La 0.000 0.000 0.000
Y1 Y 0.500 0.000 0.724
Au1 Au 0.000 0.000 0.273
Au2 Au 0.500 0.000 0.449
```

[18]
An optimized crystal structure of LaYAu6, computed with PBE.

- Energy of formation: -538 kJ/mol of formula units

Geometry as CIF:
```
data_LaYAu6
_space_group_name_H-M_alt 'P m m 2'
_space_group_IT_number 25
_space_group_name_Hall 'P 2 -2'
_cell_length_a 5.088
_cell_length_b 6.347
_cell_length_c 5.196
_cell_angle_alpha 90.00
_cell_angle_beta 90.00
_cell_angle_gamma 90.00
loop_
_atom_site_label
_atom_site_type_symbol
_atom_site_fract_x
_atom_site_fract_y
_atom_site_fract_z
La1 La 0.000 0.000 0.000
Y1 Y 0.500 0.500 0.315
Au1 Au 0.000 0.270 0.496
Au2 Au 0.000 0.500 0.993
Au3 Au 0.500 0.000 0.346
Au4 Au 0.500 0.254 0.820
```

[19]
An optimized crystal structure of LaZnAu2, computed with PBE.

- Energy of formation: -199 kJ/mol of formula units

Geometry as CIF:
```
data_LaZnAu2
_space_group_name_H-M_alt 'P 4/m m m'
_space_group_IT_number 123
_space_group_name_Hall '-P 4 2'
_cell_length_a 3.523
_cell_length_b 3.523
_cell_length_c 6.982
_cell_angle_alpha 90.00
_cell_angle_beta 90.00
_cell_angle_gamma 90.00
loop_
_atom_site_label
_atom_site_type_symbol
_atom_site_fract_x
_atom_site_fract_y
_atom_site_fract_z
La1 La 0.000 0.000 0.000
Zn1 Zn 0.000 0.000 0.500
Au1 Au 0.500 0.500 0.292
```

[20]
An optimized crystal structure of LaZnAu2, computed with PBE.

- Energy of formation: -183 kJ/mol of formula units

Geometry as CIF:
```
data_LaZnAu2
_space_group_name_H-M_alt 'P 63/m m c'
_space_group_IT_number 194
_space_group_name_Hall '-P 6c 2c'
_cell_length_a 5.0772
_cell_length_b 5.0772
_cell_length_c 7.8543
_cell_angle_alpha 90.00
_cell_angle_beta 90.00
_cell_angle_gamma 120.00
loop_
_atom_site_label
_atom_site_type_symbol
_atom_site_fract_x
_atom_site_fract_y
_atom_site_fract_z
La1 La 0.0000 0.0000 0.2500
Zn1 Zn 0.3333 0.6667 0.2500
Au1 Au 0.3333 0.6667 0.5726
```

[21]
An optimized crystal structure of LaZnAu2, computed with PBE.

- Energy of formation: -194 kJ/mol of formula units

Geometry as CIF:
```
data_LaZnAu2
_space_group_name_H-M_alt 'P 63/m m c'
_space_group_IT_number 194
_space_group_name_Hall '-P 6c 2c'
_cell_length_a 5.1653
_cell_length_b 5.1653
_cell_length_c 8.0001
_cell_angle_alpha 90.00
_cell_angle_beta 90.00
_cell_angle_gamma 120.00
loop_
_atom_site_label
_atom_site_type_symbol
_atom_site_fract_x
_atom_site_fract_y
_atom_site_fract_z
La1 La 0.0000 0.0000 0.0000
Zn1 Zn 0.3333 0.6667 0.2500
Au1 Au 0.3333 0.6667 0.5804
```

[22]
An optimized crystal structure of LaZnAu, computed with PBE.

- Energy of formation: -55 kJ/mol of formula units

Geometry as CIF:
```
data_LaZnAu
_space_group_name_H-M_alt 'F -4 3 m'
_space_group_IT_number 216
_space_group_name_Hall 'F -4 2 3'
_cell_length_a 7.035
_cell_length_b 7.035
_cell_length_c 7.035
_cell_angle_alpha 90.00
_cell_angle_beta 90.00
_cell_angle_gamma 90.00
loop_
_atom_site_label
_atom_site_type_symbol
_atom_site_fract_x
_atom_site_fract_y
_atom_site_fract_z
La1 La 0.000 0.000 0.000
Zn1 Zn 0.250 0.250 0.250
Au1 Au 0.250 0.250 0.750
```

Which density belongs to each record? In order, 10.0, 7.5, 7.1, 11.1, 11.3, 10.0, 11.2, 6.6, 6.7, 7.0, 8.3, 8.0, 7.8, 10.4, 11.6, 10.3, 10.1, 14.0, 11.5, 11.3, 10.7, 7.7 g/cm³.
Which VASP energy belongs to each record? In order, -4.2045, -4.8482, -4.9363, -4.4597, -4.5965, -4.7402, -4.5572, -4.4682, -4.4333, -4.2871, -4.6772, -4.0688, -4.0742, -5.0864, -4.8176, -6.2247, -5.3223, -4.5700, -3.6962, -3.6549, -3.6825, -3.3422 eV/atom.